# Rb2AlReI

Crystalline Rb2AlReI at its relaxed geometry (PBE, the Alexandria database).

```
data_Rb2AlReI
_chemical_formula_sum 'Rb2 Al1 Re1 I1'
_cell_length_a 6.811
_cell_length_b 6.811
_cell_length_c 5.189
_cell_angle_alpha 90.00
_cell_angle_beta 90.00
_cell_angle_gamma 90.00
_space_group_name_H-M_alt 'P 4/m m m'
_space_group_IT_number 123
_space_group_name_Hall '-P 4 2'
loop_
_atom_site_label
_atom_site_type_symbol
_atom_site_fract_x
_atom_site_fract_y
_atom_site_fract_z
_atom_site_occupancy
Rb1 Rb 0.000 0.500 0.000 1
Al1 Al 0.000 0.000 0.500 1
Re1 Re 0.500 0.500 0.500 1
I1 I 0.500 0.500 0.000 1
```

- crystal system = tetragonal
- raw total energy (eV/atom) = -2.750
- magnetic moment (μB per atom) = 0.3475
- formation energy (no corrections) (eV/f.u.) = 5.9